# 1
DFT (PBEsol) results for CuPt3 after structural relaxation.

Properties
* symmetry: P-6m2 (187)
* ΔH_f (0 K): -33 meV per atom
* D(E_F): 5.3 states/eV per cell

Unit cell a=2.699 b=2.699 c=9.052 alpha=90.00 beta=90.00 gamma=120.00
Fractional positions:
Pt1 0.000 0.000 0.500
Pt2 0.667 0.333 0.765
Pt3 0.667 0.333 0.235
Cu1 0.000 0.000 0.000

=====

# 2
DFT (PBEsol) results for MgRuPt2 after structural relaxation.

Properties
* symmetry: Cmmm (65)
* ΔH_f (0 K): -353 meV per atom
* D(E_F): 3.3 states/eV per cell

Unit cell a=2.746 b=4.732 c=4.732 alpha=108.72 beta=90.00 gamma=90.00
Fractional positions:
Mg1 0.500 0.500 0.500
Pt1 0.000 0.500 0.000
Pt2 0.000 0.000 0.500
Ru1 0.500 0.000 0.000

=====

# 3
DFT (PBEsol) results for InSbPCl2 after structural relaxation.

Properties
* E_form (uncorrected): -0.023 eV/atom
* symmetry: P4/mmm (123)
* D(E_F): 3.9 states/eV per cell

Unit cell a=4.999 b=5.305 c=5.305 alpha=90.00 beta=90.00 gamma=90.00
Each line ends with the local moment (μB).
Fractional positions:
Sb1 0.000 0.000 0.000  0.00
Cl1 0.000 0.000 0.500  0.01
Cl2 0.000 0.500 0.000  0.01
P1 0.500 0.000 0.000  0.06
In1 0.500 0.500 0.500  0.01

=====

# 4
DFT (PBEsol) results for SiHgCl2 after structural relaxation.

Properties
* E_form (uncorrected): -0.163 eV/atom
* symmetry: Cmmm (65)
* distance to the lowest polymorph of the same formula: 144 meV per atom
* D(E_F): 0.7 states/eV per cell

Unit cell a=3.597 b=3.234 c=9.389 alpha=90.00 beta=90.00 gamma=123.79
Fractional positions:
Cl1 0.000 0.000 0.813
Cl2 0.000 0.000 0.187
Hg1 0.500 0.000 0.500
Si1 0.500 0.000 0.000

=====

# 5
DFT (PBEsol) results for Mn3GaCu after structural relaxation.

Properties
* symmetry: Pm-3m (221)
* ΔH_f (0 K): 1041 meV per atom
* D(E_F): 4.2 states/eV per cell

Unit cell a=4.417 b=4.417 c=4.417 alpha=90.00 beta=90.00 gamma=90.00
Each line ends with the local moment (μB).
Fractional positions:
Mn1 0.000 0.500 0.000  3.58
Mn2 0.000 0.000 0.500  3.58
Mn3 0.500 0.000 0.000  3.58
Cu1 0.000 0.000 0.000  0.28
Ga1 0.500 0.500 0.500  -0.16

=====

# 6
DFT (PBEsol) results for CsSiTe2I after structural relaxation.

Properties
* E_form (uncorrected): -0.318 eV/atom
* symmetry: P4/mmm (123)
* distance to the lowest polymorph of the same formula: 0 meV per atom
* D(E_F): 3.6 states/eV per cell

Unit cell a=5.333 b=5.333 c=6.018 alpha=90.00 beta=90.00 gamma=90.00
Fractional positions:
Cs1 0.500 0.500 0.500
I1 0.000 0.000 0.500
Si1 0.000 0.000 0.000
Te1 0.000 0.500 0.000
Te2 0.500 0.000 0.000

=====

# 7
DFT (PBEsol) results for BePt2W after structural relaxation.

Properties
* symmetry: P4/mmm (123)
* ΔH_f (0 K): -495 meV per atom
* D(E_F): 1.5 states/eV per cell

Unit cell a=2.749 b=2.749 c=6.941 alpha=90.00 beta=90.00 gamma=90.00
Fractional positions:
Be1 0.500 0.500 0.500
Pt1 0.000 0.000 0.709
Pt2 0.000 0.000 0.291
W1 0.500 0.500 0.000

=====

# 8
DFT (PBEsol) results for Cs3CuPb after structural relaxation.

Properties
* symmetry: Pm-3m (221)
* ΔH_f (0 K): 373 meV per atom
* D(E_F): 4.2 states/eV per cell

Unit cell a=6.484 b=6.484 c=6.484 alpha=90.00 beta=90.00 gamma=90.00
Each line ends with the local moment (μB).
Fractional positions:
Pb1 0.500 0.500 0.500  0.48
Cs1 0.000 0.500 0.000  0.02
Cs2 0.000 0.000 0.500  0.02
Cs3 0.500 0.000 0.000  0.02
Cu1 0.000 0.000 0.000  0.00

=====

# 9
DFT (PBEsol) results for Zr9Re4B after structural relaxation.

Properties
* symmetry: P6_3/mmc (194)
* ΔH_f (0 K): -277 meV per atom
* D(E_F): 22.4 states/eV per cell

Unit cell a=8.395 b=8.395 c=8.616 alpha=90.00 beta=90.00 gamma=120.00
Fractional positions:
Zr1 0.202 0.798 0.055
Zr2 0.597 0.798 0.055
Zr3 0.202 0.403 0.055
Zr4 0.798 0.202 0.945
Zr5 0.403 0.202 0.945
Zr6 0.798 0.597 0.945
Zr7 0.798 0.202 0.555
Zr8 0.403 0.202 0.555
Zr9 0.798 0.597 0.555
Zr10 0.202 0.798 0.445
Zr11 0.597 0.798 0.445
Zr12 0.202 0.403 0.445
Zr13 0.539 0.461 0.250
Zr14 0.922 0.461 0.250
Zr15 0.539 0.078 0.250
Zr16 0.461 0.539 0.750
Zr17 0.078 0.539 0.750
Zr18 0.461 0.922 0.750
Re1 0.892 0.108 0.250
Re2 0.217 0.108 0.250
Re3 0.892 0.783 0.250
Re4 0.108 0.892 0.750
Re5 0.783 0.892 0.750
Re6 0.108 0.217 0.750
Re7 0.000 0.000 0.000
Re8 0.000 0.000 0.500
B1 0.333 0.667 0.250
B2 0.667 0.333 0.750

=====

# 10
DFT (PBEsol) results for Li2CuNi after structural relaxation.

Properties
* symmetry: F-43m (216)
* ΔH_f (0 K): 35 meV per atom
* distance to the lowest polymorph of the same formula: 20 meV per atom
* D(E_F): 1.0 states/eV per cell

Unit cell a=4.023 b=4.023 c=4.023 alpha=60.00 beta=60.00 gamma=60.00
Fractional positions:
Ni1 0.250 0.250 0.250
Cu1 0.500 0.500 0.500
Li1 0.000 0.000 0.000
Li2 0.750 0.750 0.750

=====

# 11
DFT (PBEsol) results for Ga7Pd3 after structural relaxation.

Properties
* symmetry: Im-3m (229)
* ΔH_f (0 K): -470 meV per atom
* D(E_F): 2.8 states/eV per cell

Unit cell a=7.555 b=7.555 c=7.555 alpha=109.47 beta=109.47 gamma=109.47
Fractional positions:
Ga1 0.250 0.750 0.500
Ga2 0.250 0.500 0.750
Ga3 0.500 0.250 0.750
Ga4 0.750 0.500 0.250
Ga5 0.750 0.250 0.500
Ga6 0.500 0.750 0.250
Ga7 0.000 0.329 0.000
Ga8 0.000 0.000 0.329
Ga9 0.671 0.671 0.671
Ga10 0.329 0.000 0.000
Ga11 0.000 0.671 0.000
Ga12 0.000 0.000 0.671
Ga13 0.329 0.329 0.329
Ga14 0.671 0.000 0.000
Pd1 0.344 0.344 0.000
Pd2 0.656 0.000 0.656
Pd3 0.000 0.344 0.344
Pd4 0.656 0.656 0.000
Pd5 0.344 0.000 0.344
Pd6 0.000 0.656 0.656

=====

# 12
DFT (PBEsol) results for SiWBr2 after structural relaxation.

Properties
* E_form (uncorrected): 1.140 eV/atom
* symmetry: P4/mmm (123)
* distance to the lowest polymorph of the same formula: 1047 meV per atom
* D(E_F): 3.6 states/eV per cell

Unit cell a=3.090 b=4.764 c=4.764 alpha=90.04 beta=90.00 gamma=90.00
Fractional positions:
Br1 0.000 0.500 0.000
Br2 0.000 0.000 0.500
Si1 0.500 0.000 0.000
W1 0.500 0.500 0.500

=====

# 13
DFT (PBEsol) results for BeInBPb2 after structural relaxation.

Properties
* symmetry: P4/mmm (123)
* ΔH_f (0 K): 493 meV per atom
* D(E_F): 2.5 states/eV per cell

Unit cell a=3.647 b=5.351 c=5.351 alpha=90.00 beta=90.00 gamma=90.00
Fractional positions:
Pb1 0.000 0.000 0.500
Pb2 0.000 0.500 0.000
Be1 0.500 0.000 0.000
B1 0.000 0.000 0.000
In1 0.500 0.500 0.500

=====

# 14
DFT (PBEsol) results for ZnCd4 after structural relaxation.

Properties
* symmetry: I4/mmm (139)
* ΔH_f (0 K): 218 meV per atom
* D(E_F): 1.9 states/eV per cell

Unit cell a=3.960 b=3.960 c=7.621 alpha=105.06 beta=105.06 gamma=90.00
Fractional positions:
Cd1 0.750 0.250 0.500
Cd2 0.405 0.405 0.811
Cd3 0.595 0.595 0.189
Cd4 0.250 0.750 0.500
Zn1 0.000 0.000 0.000

=====

# 15
DFT (PBEsol) results for CdCoBr2 after structural relaxation.

Properties
* E_form (uncorrected): 0.384 eV/atom
* symmetry: I-4m2 (119)
* distance to the lowest polymorph of the same formula: 418 meV per atom
* D(E_F): 6.9 states/eV per cell

Unit cell a=3.826 b=3.826 c=6.650 alpha=106.72 beta=106.72 gamma=90.00
Each line ends with the local moment (μB).
Fractional positions:
Co1 0.250 0.750 0.500  1.82
Br1 0.000 0.000 0.000  -0.01
Br2 0.750 0.250 0.500  0.05
Cd1 0.500 0.500 0.000  0.00

=====

# 16
DFT (PBEsol) results for InReTe2 after structural relaxation.

Properties
* E_form (uncorrected): 0.290 eV/atom
* symmetry: P4mm (99)
* D(E_F): 2.5 states/eV per cell

Unit cell a=3.157 b=3.157 c=9.357 alpha=90.00 beta=90.00 gamma=90.00
Fractional positions:
In1 0.000 0.000 0.557
Re1 0.500 0.500 0.756
Te1 0.000 0.000 0.919
Te2 0.500 0.500 0.268

=====

# 17
DFT (PBEsol) results for PtSe2Cl after structural relaxation.

Properties
* E_form (uncorrected): 0.185 eV/atom
* symmetry: P4/mmm (123)
* distance to the lowest polymorph of the same formula: 536 meV per atom
* D(E_F): 2.2 states/eV per cell

Unit cell a=3.143 b=3.143 c=7.364 alpha=90.00 beta=90.00 gamma=90.00
Fractional positions:
Se1 0.000 0.000 0.712
Se2 0.000 0.000 0.288
Pt1 0.500 0.500 0.500
Cl1 0.500 0.500 0.000

=====

# 18
DFT (PBEsol) results for Li2CaSi after structural relaxation.

Properties
* E_form (uncorrected): -0.281 eV/atom
* symmetry: F-43m (216)
* D(E_F): 0.1 states/eV per cell

Unit cell a=4.779 b=4.779 c=4.779 alpha=60.00 beta=60.00 gamma=60.00
Fractional positions:
Ca1 0.500 0.500 0.500
Si1 0.750 0.750 0.750
Li1 0.000 0.000 0.000
Li2 0.250 0.250 0.250

=====

# 19
DFT (PBEsol) results for Ti2TlHBr after structural relaxation.

Properties
* symmetry: P4/mmm (123)
* D(E_F): 5.7 states/eV per cell
* VASP energy: -18.50 eV for the cell shown

Unit cell a=4.635 b=4.635 c=5.896 alpha=90.00 beta=90.00 gamma=90.00
Fractional positions:
H1 0.500 0.500 0.500
Tl1 0.000 0.000 0.500
Br1 0.000 0.000 0.000
Ti1 0.000 0.500 0.000
Ti2 0.500 0.000 0.000

=====

# 20
DFT (PBEsol) results for Nb4Ag2O11 after structural relaxation.

Properties
* E_form (uncorrected): -2.064 eV/atom
* symmetry: R3c (161)
* D(E_F): 0.0 states/eV per cell

Unit cell a=6.209 b=6.209 c=13.042 alpha=76.23 beta=76.23 gamma=60.00
Fractional positions:
Nb1 0.123 0.387 0.741
Nb2 0.748 0.123 0.741
Nb3 0.387 0.748 0.741
Nb4 0.623 0.248 0.241
Nb5 0.887 0.623 0.241
Nb6 0.248 0.887 0.241
Nb7 0.005 0.005 0.984
Nb8 0.505 0.505 0.484
Ag1 0.676 0.676 0.973
Ag2 0.176 0.176 0.473
Ag3 0.834 0.834 0.497
Ag4 0.334 0.334 0.997
O1 0.435 0.745 0.593
O2 0.227 0.435 0.593
O3 0.745 0.227 0.593
O4 0.936 0.727 0.093
O5 0.245 0.936 0.093
O6 0.727 0.245 0.093
O7 0.051 0.289 0.910
O8 0.749 0.051 0.910
O9 0.289 0.749 0.910
O10 0.551 0.249 0.410
O11 0.789 0.551 0.410
O12 0.249 0.789 0.410
O13 0.496 0.003 0.749
O14 0.752 0.496 0.749
O15 0.003 0.752 0.749
O16 0.996 0.252 0.249
O17 0.503 0.996 0.249
O18 0.252 0.503 0.249
O19 0.592 0.592 0.225
O20 0.092 0.092 0.725
O21 0.904 0.904 0.287
O22 0.404 0.404 0.787

=====

# 21
DFT (PBEsol) results for Al2SnAu2 after structural relaxation.

Properties
* symmetry: I4/mmm (139)
* ΔH_f (0 K): -273 meV per atom
* D(E_F): 1.9 states/eV per cell

Unit cell a=4.014 b=4.014 c=6.573 alpha=107.78 beta=107.78 gamma=90.00
Fractional positions:
Au1 0.383 0.383 0.767
Au2 0.617 0.617 0.233
Sn1 0.000 0.000 0.000
Al1 0.250 0.750 0.500
Al2 0.750 0.250 0.500

=====

# 22
DFT (PBEsol) results for Pb2CSF after structural relaxation.

Properties
* E_form (uncorrected): 0.958 eV/atom
* symmetry: P4/mmm (123)
* D(E_F): 2.9 states/eV per cell

Unit cell a=4.256 b=4.977 c=4.977 alpha=90.00 beta=90.00 gamma=90.00
Each line ends with the local moment (μB).
Fractional positions:
Pb1 0.000 0.000 0.500  -0.01
Pb2 0.000 0.500 0.000  -0.01
S1 0.500 0.000 0.000  0.12
C1 0.500 0.500 0.500  0.67
F1 0.000 0.000 0.000  -0.01

=====

# 23
DFT (PBEsol) results for Mg2InRu after structural relaxation.

Properties
* symmetry: Imm2 (44)
* ΔH_f (0 K): -60 meV per atom
* D(E_F): 1.1 states/eV per cell

Unit cell a=3.563 b=4.379 c=5.254 alpha=114.63 beta=109.82 gamma=90.00
Fractional positions:
Ru1 0.499 0.999 0.997
Mg1 0.999 0.499 0.999
Mg2 0.763 0.763 0.526
In1 0.239 0.239 0.479

=====

# 24
DFT (PBEsol) results for TbAl3 after structural relaxation.

Properties
* symmetry: R-3m (166)
* ΔH_f (0 K): -449 meV per atom
* D(E_F): 3.7 states/eV per cell

Unit cell a=6.124 b=6.124 c=7.870 alpha=67.10 beta=67.10 gamma=60.00
Fractional positions:
Tb1 0.000 0.000 0.000
Tb2 0.219 0.219 0.344
Tb3 0.781 0.781 0.656
Al1 0.000 0.500 0.000
Al2 0.500 0.500 0.000
Al3 0.500 0.000 0.000
Al4 0.295 0.741 0.669
Al5 0.741 0.295 0.669
Al6 0.295 0.295 0.669
Al7 0.705 0.259 0.331
Al8 0.705 0.705 0.331
Al9 0.259 0.705 0.331

=====

# 25
DFT (PBEsol) results for ReTcPb2 after structural relaxation.

Properties
* symmetry: P2/m (10)
* ΔH_f (0 K): 1135 meV per atom
* distance to the lowest polymorph of the same formula: 0 meV per atom
* D(E_F): 4.4 states/eV per cell

Unit cell a=3.101 b=4.448 c=5.551 alpha=90.00 beta=92.64 gamma=90.00
Fractional positions:
Pb1 0.748 0.000 0.748
Pb2 0.252 0.000 0.252
Re1 0.500 0.500 0.000
Tc1 0.000 0.500 0.500